Material: DyZrAgPb
Method: DFT, PBE-GGA
State: relaxed

Lattice parameters (Å, degrees): 5.126 5.126 5.126 60.00 60.00 60.00
Fractional positions:
Pb (0.750, 0.750, 0.750)
Zr (0.000, 0.000, 0.000)
Ag (0.250, 0.250, 0.250)
Dy (0.500, 0.500, 0.500)

## Properties
final energy = -5.115 eV/atom
theoretical density = 9.92 Mg/m³
magnetization = 0.0 Bohr magnetons per cell